# CaMgTcO6

CaMgTcO6 after structural relaxation (PBE, Alexandria via LeMat-Bulk).

Lattice parameters (Å, degrees): 5.2565 5.2565 9.9329 90.00 90.00 120.00
Space group P-31c (No. 163)
Asymmetric unit:
Ca 0.0000 0.0000 0.0000 (multiplicity 2)
Mg 0.3333 0.6667 0.2500 (multiplicity 2)
Tc 0.3333 0.6667 0.7500 (multiplicity 2)
O 0.0275 0.3769 0.6427 (multiplicity 12)

Values from the calculation:
The calculation puts the uncorrected formation energy at -1777 meV/atom. Its total moment is 1.03 μB per formula unit. For the mass density, the calculation gives 3.6 g cm⁻³. Its crystal system is trigonal.